# Si4HgBr

Si4HgBr after structural relaxation (PBEsol, the Alexandria database).

Cell and atoms, written as POSCAR:
```
Si4HgBr
1.0
0.000 3.793 3.793
3.793 0.000 3.793
3.793 3.793 0.000
Si Hg Br
4 1 1
Direct
0.124 0.124 0.124 Si
0.124 0.124 0.627 Si
0.124 0.627 0.124 Si
0.627 0.124 0.124 Si
0.500 0.500 0.500 Hg
0.750 0.750 0.750 Br
```

Properties
Energy ... -3.7231 eV per atom
SG ... F-43m (216)